--- w ---
VASP calculation (PBE) on a relaxed LiTcNiSn crystal.

Cell and atoms, written as POSCAR:
```
LiTcNiSn
1.0
0.000 3.061 3.061
3.061 0.000 3.061
3.061 3.061 0.000
Ni Tc Li Sn
1 1 1 1
direct
0.750 0.750 0.750
0.500 0.500 0.500
0.250 0.250 0.250
0.000 0.000 0.000
```

--- x ---
VASP calculation (PBE) on a relaxed LiTcNiSn crystal.

Cell and atoms, written as POSCAR:
```
LiTcNiSn
1.0
2.008 -3.301 -1.999
0.606 -3.765 2.093
-2.257 -3.529 -1.174
Ni Sn Li Tc
1 1 1 1
direct
0.750 0.750 0.750
0.000 0.000 0.000
0.500 0.500 0.500
0.250 0.250 0.250
```

Of them, the most stable is x and the least stable is w.

--- w ---
VASP calculation (PBE) on a relaxed SrLiTaNi crystal.

Cell and atoms, written as POSCAR:
```
SrLiTaNi
1.0
0.000 3.306 3.306
3.306 0.000 3.306
3.306 3.306 0.000
Ni Li Sr Ta
1 1 1 1
direct
0.500 0.500 0.500
0.750 0.750 0.750
0.000 0.000 0.000
0.250 0.250 0.250
```

--- x ---
VASP calculation (PBE) on a relaxed SrLiTaNi crystal.

Cell and atoms, written as POSCAR:
```
SrLiTaNi
1.0
-2.108 -0.715 4.264
-1.531 3.756 2.586
-4.715 0.803 0.517
Sr Ni Li Ta
1 1 1 1
direct
0.250 0.250 0.250
0.000 0.000 0.000
0.750 0.750 0.750
0.500 0.500 0.500
```

Of them, the most stable is w and the least stable is x.